Here is crystalline BaSrZr at its relaxed geometry from OQMD. Energies are from GGA-PBE.

Geometry as POSCAR:
```
BaSrZr
1.0
0.000 4.227 4.227
4.227 0.000 4.227
4.227 4.227 0.000
Ba Sr Zr
1 1 1
direct
0.000 0.000 0.000
0.500 0.500 0.500
0.250 0.250 0.250
```

Output
Energy above the most stable polymorph in this dataset = 0 meV/atom
Mass density = 3.47 Mg/m³
SG = F-43m, No. 216



Here is crystalline Ba2Ta at its relaxed geometry from OQMD. Energies are from GGA-PBE.

Geometry as POSCAR:
```
Ba2Ta
1.0
0.000 4.789 4.789
4.789 0.000 4.789
4.789 4.789 0.000
Ba Ta
4 2
direct
0.000 0.000 0.000
0.000 0.000 0.500
0.000 0.500 0.000
0.500 0.000 0.000
0.375 0.375 0.375
0.625 0.625 0.625
```

Output
Mass density = 6.89 Mg/m³
SG = Fd-3m, No. 227



Here is crystalline BaTbTa at its relaxed geometry from OQMD. Energies are from GGA-PBE.

Geometry as POSCAR:
```
BaTbTa
1.0
0.000 3.647 3.647
3.647 0.000 3.647
3.647 3.647 0.000
Ba Tb Ta
1 1 1
direct
0.000 0.000 0.000
0.250 0.250 0.250
0.750 0.750 0.750
```

Output
Mass density = 8.17 Mg/m³
SG = F-43m, No. 216



Here is crystalline Ba2TaTc at its relaxed geometry from OQMD. Energies are from GGA-PBE.

Geometry as POSCAR:
```
Ba2TaTc
1.0
0.000 3.739 3.739
3.739 0.000 3.739
3.739 3.739 0.000
Ba Ta Tc
2 1 1
direct
0.000 0.000 0.000
0.250 0.250 0.250
0.750 0.750 0.750
0.500 0.500 0.500
```

Output
Mass density = 8.79 Mg/m³
SG = F-43m, No. 216



Here is crystalline BaTaTl at its relaxed geometry from OQMD. Energies are from GGA-PBE.

Geometry as POSCAR:
```
BaTaTl
1.0
0.000 3.642 3.642
3.642 0.000 3.642
3.642 3.642 0.000
Ba Ta Tl
1 1 1
direct
0.000 0.000 0.000
0.250 0.250 0.250
0.500 0.500 0.500
```

Output
Energy above the most stable polymorph in this dataset = 0 meV/atom
Mass density = 8.98 Mg/m³
SG = F-43m, No. 216



Here is crystalline BaTaW at its relaxed geometry from OQMD. Energies are from GGA-PBE.

Geometry as POSCAR:
```
BaTaW
1.0
0.000 3.383 3.383
3.383 0.000 3.383
3.383 3.383 0.000
Ba Ta W
1 1 1
direct
0.000 0.000 0.000
0.500 0.500 0.500
0.250 0.250 0.250
```

Output
Energy above the most stable polymorph in this dataset = 0 meV/atom
Mass density = 10.77 Mg/m³
SG = F-43m, No. 216



Here is crystalline BaTaW at its relaxed geometry from OQMD. Energies are from GGA-PBE.

Geometry as POSCAR:
```
BaTaW
1.0
0.000 3.331 3.331
3.331 0.000 3.331
3.331 3.331 0.000
Ba Ta W
1 1 1
direct
0.000 0.000 0.000
0.750 0.750 0.750
0.250 0.250 0.250
```

Output
Energy above the most stable polymorph in this dataset = 1294 meV/atom
Mass density = 11.27 Mg/m³
SG = F-43m, No. 216



Here is crystalline BaTa2Zn at its relaxed geometry from OQMD. Energies are from GGA-PBE.

Geometry as POSCAR:
```
BaTa2Zn
1.0
0.000 3.522 3.522
3.522 0.000 3.522
3.522 3.522 0.000
Ba Ta Zn
1 2 1
direct
0.000 0.000 0.000
0.500 0.500 0.500
0.750 0.750 0.750
0.250 0.250 0.250
```

Output
Mass density = 10.73 Mg/m³
SG = F-43m, No. 216



Here is crystalline BaTb2 at its relaxed geometry from OQMD. Energies are from GGA-PBE.

Geometry as POSCAR:
```
BaTb2
1.0
0.000 5.003 5.003
5.003 0.000 5.003
5.003 5.003 0.000
Ba Tb
2 4
direct
0.125 0.125 0.125
0.875 0.875 0.875
0.000 0.500 0.500
0.500 0.000 0.500
0.500 0.500 0.000
0.500 0.500 0.500
```

Output
Mass density = 6.03 Mg/m³
SG = Fd-3m, No. 227



Here is crystalline BaTb at its relaxed geometry from OQMD. Energies are from GGA-PBE.

Geometry as POSCAR:
```
BaTb
1.0
0.000 3.557 3.557
3.557 0.000 3.557
3.557 3.557 0.000
Ba Tb
1 1
direct
0.000 0.000 0.000
0.500 0.500 0.500
```

Output
Energy above the most stable polymorph in this dataset = 0 meV/atom
Mass density = 5.46 Mg/m³
SG = Fm-3m, No. 225



Here is crystalline BaTb at its relaxed geometry from OQMD. Energies are from GGA-PBE.

Geometry as POSCAR:
```
BaTb
1.0
0.000 3.930 3.930
3.930 0.000 3.930
3.930 3.930 0.000
Ba Tb
1 1
direct
0.000 0.000 0.000
0.750 0.750 0.750
```

Output
Energy above the most stable polymorph in this dataset = 788 meV/atom
Mass density = 4.05 Mg/m³
SG = F-43m, No. 216



Here is crystalline Ba2Tb at its relaxed geometry from OQMD. Energies are from GGA-PBE.

Geometry as POSCAR:
```
Ba2Tb
1.0
-2.104 2.104 8.276
2.104 -2.104 8.276
2.104 2.104 -8.276
Ba Tb
2 1
direct
0.153 0.153 0.000
0.847 0.847 0.000
0.500 0.500 0.000
```

Output
Energy above the most stable polymorph in this dataset = 0 meV/atom
Mass density = 4.91 Mg/m³
SG = I4/mmm, No. 139



Here is crystalline Ba2Tb at its relaxed geometry from OQMD. Energies are from GGA-PBE.

Geometry as POSCAR:
```
Ba2Tb
1.0
0.000 5.248 5.248
5.248 0.000 5.248
5.248 5.248 0.000
Ba Tb
4 2
direct
0.000 0.000 0.000
0.000 0.000 0.500
0.000 0.500 0.000
0.500 0.000 0.000
0.375 0.375 0.375
0.625 0.625 0.625
```

Output
Energy above the most stable polymorph in this dataset = 310 meV/atom
Mass density = 4.98 Mg/m³
SG = Fd-3m, No. 227



Here is crystalline BaTbTc at its relaxed geometry from OQMD. Energies are from GGA-PBE.

Geometry as POSCAR:
```
BaTbTc
1.0
0.000 3.509 3.509
3.509 0.000 3.509
3.509 3.509 0.000
Ba Tb Tc
1 1 1
direct
0.000 0.000 0.000
0.750 0.750 0.750
0.250 0.250 0.250
```

Output
Mass density = 7.58 Mg/m³
SG = F-43m, No. 216



no.,total DFT energy (no corrections) (eV per atom)
1,-3.03
2,-3.43
3,-4.35
4,-5.20
5,-4.18
6,-7.31
7,-6.02
8,-5.87
9,-3.41
10,-2.45
11,-1.66
12,-2.60
13,-2.29
14,-4.12